# 1
{
  "formula": "CaCdCo2",
  "functional": "PBE",
  "state": "optimized geometry",
  "total_energy_ev_per_atom": -3.626,
  "mass_density_g_cm3": 6.4,
  "dos_at_fermi_per_ev_fu": 5.88,
  "lattice": [[1.507, 0.870, 8.940], [-1.507, 0.870, 8.940], [0.000, -1.740, 8.940]],
  "species": ["Ca", "Cd", "Co", "Co"],
  "fractional_positions": [[0.000, 0.000, 0.000], [0.500, 0.500, 0.500], [0.247, 0.247, 0.247], [0.753, 0.753, 0.753]]
}

=====

# 2
{
  "formula": "NaBe2Mo",
  "functional": "PBE",
  "state": "optimized geometry",
  "total_energy_ev_per_atom": -3.802,
  "mass_density_g_cm3": 3.8,
  "dos_at_fermi_per_ev_fu": 2.74,
  "lattice": [[-3.268, 3.268, 2.771], [3.268, -3.268, 2.771], [3.268, 3.268, -2.771]],
  "species": ["Na", "Na", "Be", "Be", "Be", "Be", "Mo", "Mo"],
  "fractional_positions": [[0.000, 0.000, 0.000], [0.750, 0.250, 0.500], [0.144, 0.625, 0.019], [0.375, 0.394, 0.519], [0.606, 0.125, 0.981], [0.875, 0.856, 0.481], [0.250, 0.750, 0.500], [0.500, 0.500, 0.000]]
}

=====

# 3
{
  "formula": "Ac4GaNi2",
  "functional": "PBE",
  "state": "optimized geometry",
  "total_energy_ev_per_atom": -4.654,
  "mass_density_g_cm3": 8.6,
  "dos_at_fermi_per_ev_fu": 5.40,
  "lattice": [[4.569, -7.691, 0.000], [4.569, 7.691, 0.000], [-4.568, 0.000, 5.988]],
  "species": ["Ac", "Ac", "Ac", "Ac", "Ac", "Ac", "Ac", "Ac", "Ga", "Ga", "Ni", "Ni", "Ni", "Ni"],
  "fractional_positions": [[0.009, 0.991, 0.500], [0.066, 0.456, 0.824], [0.332, 0.848, 0.680], [0.456, 0.066, 0.324], [0.473, 0.582, 0.356], [0.582, 0.473, 0.856], [0.848, 0.332, 0.180], [0.991, 0.009, 0.000], [0.598, 0.849, 0.091], [0.849, 0.598, 0.591], [0.055, 0.725, 0.190], [0.203, 0.374, 0.488], [0.374, 0.203, 0.988], [0.725, 0.055, 0.690]]
}

=====

# 4
{
  "formula": "YZn2Cu2",
  "functional": "PBE",
  "state": "optimized geometry",
  "total_energy_ev_per_atom": -3.682,
  "mass_density_g_cm3": 6.7,
  "dos_at_fermi_per_ev_fu": 2.48,
  "lattice": [[4.052, 0.000, 0.000], [0.000, 4.050, 0.000], [-0.058, 0.000, 10.497]],
  "species": ["Y", "Y", "Zn", "Zn", "Zn", "Zn", "Cu", "Cu", "Cu", "Cu"],
  "fractional_positions": [[0.247, 0.250, 0.249], [0.753, 0.750, 0.751], [0.249, 0.750, 0.500], [0.255, 0.250, 0.868], [0.745, 0.750, 0.132], [0.751, 0.250, 0.500], [0.243, 0.750, 0.000], [0.254, 0.250, 0.639], [0.746, 0.750, 0.361], [0.757, 0.250, 0.000]]
}

=====

# 5
{
  "formula": "RbTaCd",
  "functional": "PBE",
  "state": "optimized geometry",
  "total_energy_ev_per_atom": -3.425,
  "mass_density_g_cm3": 5.9,
  "dos_at_fermi_per_ev_fu": 2.17,
  "lattice": [[5.498, 0.000, 0.000], [-2.749, 4.762, 0.000], [0.000, 0.000, 8.080]],
  "species": ["Rb", "Rb", "Ta", "Ta", "Cd", "Cd"],
  "fractional_positions": [[0.000, 0.000, 0.000], [0.000, 0.000, 0.500], [0.333, 0.667, 0.146], [0.333, 0.667, 0.854], [0.667, 0.333, 0.184], [0.667, 0.333, 0.816]]
}

=====

# 6
{
  "formula": "TbBi2OsO8",
  "functional": "PBE",
  "state": "optimized geometry",
  "mass_density_g_cm3": 8.1,
  "raw_formation_energy_ev_per_atom": -1.5752,
  "dos_at_fermi_per_ev_fu": 3.01,
  "lattice": [[5.224, 0.000, 0.000], [0.000, 6.734, 0.000], [-0.104, 0.000, 5.235]],
  "species": ["Tb", "Bi", "Bi", "Os", "O", "O", "O", "O", "O", "O", "O", "O"],
  "fractional_positions": [[0.000, 0.000, 0.000], [0.500, 0.251, 0.500], [0.500, 0.749, 0.500], [0.000, 0.500, 0.000], [0.178, 0.282, 0.181], [0.178, 0.718, 0.181], [0.247, 0.500, 0.759], [0.311, 0.000, 0.691], [0.689, 0.000, 0.309], [0.753, 0.500, 0.241], [0.822, 0.282, 0.819], [0.822, 0.718, 0.819]]
}

=====

# 7
{
  "formula": "LaP2Br",
  "functional": "PBE",
  "state": "optimized geometry",
  "mass_density_g_cm3": 5.3,
  "raw_formation_energy_ev_per_atom": -0.6063,
  "dos_at_fermi_per_ev_fu": 1.71,
  "lattice": [[-2.044, 2.044, 5.297], [2.044, -2.044, 5.297], [2.044, 2.044, -5.297]],
  "species": ["La", "P", "P", "Br"],
  "fractional_positions": [[0.000, 0.000, 0.000], [0.250, 0.750, 0.500], [0.750, 0.250, 0.500], [0.500, 0.500, 0.000]]
}

=====

# 8
{
  "formula": "Cr2HPtRh",
  "functional": "PBE",
  "state": "optimized geometry",
  "total_energy_ev_per_atom": -7.296,
  "mass_density_g_cm3": 12.1,
  "dos_at_fermi_per_ev_fu": 4.13,
  "lattice": [[3.803, 0.000, 0.000], [0.000, 3.803, 0.000], [0.000, 0.000, 3.832]],
  "species": ["Cr", "Cr", "H", "Pt", "Rh"],
  "fractional_positions": [[0.000, 0.500, 0.000], [0.500, 0.000, 0.000], [0.000, 0.000, 0.000], [0.500, 0.500, 0.500], [0.000, 0.000, 0.500]]
}